VASP calculation (PBE-GGA) on crystalline Pa2In3Bi4 at its relaxed geometry.

Lattice parameters (Å, degrees): 4.651 7.842 7.706 88.93 107.57 90.00
Each line ends with the local moment (μB).
Sites, in units of the cell vectors:
Pa (0.340, 0.988, 0.681)  0.92
Pa (0.660, 0.012, 0.319)  0.92
In (0.834, 0.294, 0.667)  0.00
In (0.166, 0.706, 0.333)  0.00
In (0.000, 0.000, 0.000)  0.01
Bi (0.489, 0.299, 0.978)  0.00
Bi (0.825, 0.695, 0.650)  -0.01
Bi (0.511, 0.701, 0.022)  0.00
Bi (0.175, 0.305, 0.350)  -0.01

## Properties
Energy of formation from the pure elements: -27 kJ/mol of formula units
Space group: C2/m
DOS at the Fermi energy: 1.17 states/eV/atom
Raw total energy: -43.02 eV per cell